# PdRu2I

A relaxed PdRu2I crystal (PBE, Alexandria via LeMat-Bulk).

Cell lengths 7.473, 7.473, 7.473 Å; angles 137.54, 137.54, 61.61 degrees
Element x y z (fractional)
1 Pd 0.000 0.000 0.000
2 Pd 0.750 0.250 0.500
3 Ru 0.117 0.625 0.992
4 Ru 0.375 0.367 0.492
5 Ru 0.633 0.125 0.008
6 Ru 0.875 0.883 0.508
7 I 0.250 0.750 0.500
8 I 0.500 0.500 0.000

- E above lowest polymorph: 1.96 eV/f.u.
- Magnetic moment: 0.000 μB per cell

---

# PdRuI2

A relaxed PdRuI2 crystal (PBE, Alexandria via LeMat-Bulk).

Cell lengths 4.884, 4.884, 4.884 Å; angles 60.00, 60.00, 60.00 degrees
Element x y z (fractional)
1 Pd 0.000 0.000 0.000
2 Ru 0.500 0.500 0.500
3 I 0.250 0.250 0.250
4 I 0.750 0.750 0.750

- E above lowest polymorph: 0.94 eV/f.u.
- Magnetic moment: 0.000 μB per cell

---

no.,formation energy without anion corrections (eV per atom)
1,1.256
2,0.696